No. 1
First-principles (PBE) data for an optimized crystal structure of PmGa2Pd4, as listed in the Alexandria database.

The structure belongs to space group Pnma (No. 62); the cell edges are 16.8690, 4.3101 and 6.7102 Å and the angles 90.00°, 90.00° and 90.00°. The asymmetric unit holds Pm at (0.1388, 0.2500, 0.0781), Ga at (0.0615, 0.7500, 0.7361), Ga at (0.2045, 0.2500, 0.6230), Pd at (0.0218, 0.7500, 0.1392), Pd at (0.0592, 0.2500, 0.4881), Pd at (0.1703, 0.7500, 0.3995) and Pd at (0.2121, 0.7500, 0.8183).

As for the density of states at the Fermi level: 9.12 states/eV/cell. The energy of formation from the pure elements comes out at -0.75 eV/atom. The value obtained for the total energy is -5.260 eV/atom.


No. 2
First-principles (PBE) data for an optimized crystal structure of Pm3Ga3Pd, as listed in the Alexandria database.

The structure belongs to space group C2/m (No. 12); the cell edges are 10.8437, 4.4686 and 14.7532 Å and the angles 90.00°, 111.01° and 90.00°. The asymmetric unit holds Pm at (0.0345, 0.0000, 0.3810), Pm at (0.1082, 0.0000, 0.9274), Pm at (0.2415, 0.0000, 0.2337), Ga at (0.0301, 0.5000, 0.2291), Ga at (0.1066, 0.5000, 0.0782), Ga at (0.1343, 0.5000, 0.5396) and Pd at (0.2471, 0.5000, 0.3930).

As for the density of states at the Fermi level: 26.67 states/eV/cell. The energy of formation from the pure elements comes out at -0.69 eV/atom. The value obtained for the total energy is -4.763 eV/atom.


No. 3
First-principles (PBE) data for an optimized crystal structure of PmPrGa2Pd2, as listed in the Alexandria database.

The structure belongs to space group P-3m1 (No. 164); the cell edges are 4.5516, 4.5516 and 7.2436 Å and the angles 90.00°, 90.00° and 120.00°. The asymmetric unit holds Pm at (0.0000, 0.0000, 0.0000), Pr at (0.0000, 0.0000, 0.5000), Ga at (0.3333, 0.6667, 0.2422) and Pd at (0.3333, 0.6667, 0.7585).

As for the density of states at the Fermi level: 3.94 states/eV/cell. The energy of formation from the pure elements comes out at -0.81 eV/atom. The value obtained for the total energy is -5.135 eV/atom.


No. 4
First-principles (PBE) data for an optimized crystal structure of PmPrGa2Pd5, as listed in the Alexandria database.

The structure belongs to space group P4/mmm (No. 123); the cell edges are 4.3039, 4.3039 and 9.2816 Å and the angles 90.00°, 90.00° and 90.00°. The asymmetric unit holds Pm at (0.0000, 0.0000, 0.0000), Pr at (0.0000, 0.0000, 0.5000), Ga at (0.5000, 0.5000, 0.1370), Pd at (0.0000, 0.5000, 0.2733) and Pd at (0.5000, 0.5000, 0.5000).

As for the density of states at the Fermi level: 6.71 states/eV/cell. The energy of formation from the pure elements comes out at -0.77 eV/atom. The value obtained for the total energy is -5.386 eV/atom.


No. 5
First-principles (PBE) data for an optimized crystal structure of Pm2Ga4Pd3Pt, as listed in the Alexandria database.

The structure belongs to space group P-4m2 (No. 115); the cell edges are 4.3669, 4.3669 and 10.1155 Å and the angles 90.00°, 90.00° and 90.00°. The asymmetric unit holds Pm at (0.0000, 0.5000, 0.2501), Ga at (0.0000, 0.0000, 0.0000), Ga at (0.0000, 0.5000, 0.6284), Ga at (0.5000, 0.5000, 0.0000), Pd at (0.0000, 0.5000, 0.8715), Pd at (0.5000, 0.5000, 0.5000) and Pt at (0.0000, 0.0000, 0.5000).

As for the density of states at the Fermi level: 7.47 states/eV/cell. The energy of formation from the pure elements comes out at -0.84 eV/atom. The value obtained for the total energy is -5.163 eV/atom.


No. 6
First-principles (PBE) data for an optimized crystal structure of PmGa2Pd5Pt, as listed in the Alexandria database.

The structure belongs to space group P4/mmm (No. 123); the cell edges are 4.7398, 4.7398 and 7.2330 Å and the angles 90.00°, 90.00° and 90.00°. The asymmetric unit holds Pm at (0.0000, 0.0000, 0.0000), Ga at (0.5000, 0.5000, 0.3370), Pd at (0.0000, 0.5000, 0.2708), Pd at (0.5000, 0.5000, 0.0000) and Pt at (0.0000, 0.0000, 0.5000).

As for the density of states at the Fermi level: 4.48 states/eV/cell. The energy of formation from the pure elements comes out at -0.36 eV/atom. The value obtained for the total energy is -5.120 eV/atom.


Question: What is the formula in the fourth record?
Answer: PmPrGa2Pd5


Question: The highest energy of formation from the pure elements belongs to which entry?
Answer: PmGa2Pd5Pt


Copy entry 4 word for word.
First-principles (PBE) data for an optimized crystal structure of PmPrGa2Pd5, as listed in the Alexandria database.

The structure belongs to space group P4/mmm (No. 123); the cell edges are 4.3039, 4.3039 and 9.2816 Å and the angles 90.00°, 90.00° and 90.00°. The asymmetric unit holds Pm at (0.0000, 0.0000, 0.0000), Pr at (0.0000, 0.0000, 0.5000), Ga at (0.5000, 0.5000, 0.1370), Pd at (0.0000, 0.5000, 0.2733) and Pd at (0.5000, 0.5000, 0.5000).

As for the density of states at the Fermi level: 6.71 states/eV/cell. The energy of formation from the pure elements comes out at -0.77 eV/atom. The value obtained for the total energy is -5.386 eV/atom.